# LaTaOs, optimized geometry, DFT PBE
data_LaTaOs
_chemical_formula_sum 'La4 Ta4 Os4'
_symmetry_space_group_name_H-M 'F -4 3 m'
_symmetry_Int_Tables_number 216
_symmetry_space_group_name_Hall 'F -4 2 3'
_cell_length_a 6.4399
_cell_length_b 6.4399
_cell_length_c 6.4399
_cell_angle_alpha 90.00
_cell_angle_beta 90.00
_cell_angle_gamma 90.00
loop_
_atom_site_label
_atom_site_fract_x
_atom_site_fract_y
_atom_site_fract_z
La1 0.0000 0.0000 0.0000
Ta1 0.2500 0.2500 0.7500
Os1 0.2500 0.2500 0.2500
# Crystal system: cubic
# Distance to the lowest polymorph of the same formula, meV/atom: 1743

***

# La2TaOs, optimized geometry, DFT PBE
data_La2TaOs
_chemical_formula_sum 'La2 Ta1 Os1'
_symmetry_space_group_name_H-M 'P 4/m m m'
_symmetry_Int_Tables_number 123
_symmetry_space_group_name_Hall '-P 4 2'
_cell_length_a 5.2030
_cell_length_b 5.2030
_cell_length_c 3.5014
_cell_angle_alpha 90.00
_cell_angle_beta 90.00
_cell_angle_gamma 90.00
loop_
_atom_site_label
_atom_site_fract_x
_atom_site_fract_y
_atom_site_fract_z
La1 0.0000 0.5000 0.0000
Ta1 0.0000 0.0000 0.5000
Os1 0.5000 0.5000 0.5000
# Crystal system: tetragonal
# Distance to the lowest polymorph of the same formula, meV/atom: 575

***

# La2TaOs2, optimized geometry, DFT PBE
data_La2TaOs2
_chemical_formula_sum 'La4 Ta2 Os4'
_symmetry_space_group_name_H-M 'P 4/m b m'
_symmetry_Int_Tables_number 127
_symmetry_space_group_name_Hall '-P 4 2ab'
_cell_length_a 6.8210
_cell_length_b 6.8210
_cell_length_c 5.0092
_cell_angle_alpha 90.00
_cell_angle_beta 90.00
_cell_angle_gamma 90.00
loop_
_atom_site_label
_atom_site_fract_x
_atom_site_fract_y
_atom_site_fract_z
La1 0.1794 0.3206 0.0000
Ta1 0.0000 0.0000 0.5000
Os1 0.1290 0.6290 0.5000
# Crystal system: tetragonal

***

# La2TaOs, optimized geometry, DFT PBE
data_La2TaOs
_chemical_formula_sum 'La8 Ta4 Os4'
_symmetry_space_group_name_H-M 'F m -3 m'
_symmetry_Int_Tables_number 225
_symmetry_space_group_name_Hall '-F 4 2 3'
_cell_length_a 7.2954
_cell_length_b 7.2954
_cell_length_c 7.2954
_cell_angle_alpha 90.00
_cell_angle_beta 90.00
_cell_angle_gamma 90.00
loop_
_atom_site_label
_atom_site_fract_x
_atom_site_fract_y
_atom_site_fract_z
La1 0.2500 0.2500 0.2500
Ta1 0.0000 0.0000 0.0000
Os1 0.0000 0.0000 0.5000
# Crystal system: cubic
# Distance to the lowest polymorph of the same formula, meV/atom: 630

***

# La2TaOs, optimized geometry, DFT PBE
data_La2TaOs
_chemical_formula_sum 'La2 Ta1 Os1'
_symmetry_space_group_name_H-M 'P m m m'
_symmetry_Int_Tables_number 47
_cell_length_a 3.3217
_cell_length_b 5.1177
_cell_length_c 5.1330
_cell_angle_alpha 90.00
_cell_angle_beta 90.00
_cell_angle_gamma 90.00
loop_
_symmetry_equiv_pos_as_xyz
'x,y,z'
'-x,-y,-z'
'-x,-y,z'
'x,y,-z'
'x,-y,-z'
'-x,y,z'
'-x,y,-z'
'x,-y,z'
loop_
_atom_site_label
_atom_site_fract_x
_atom_site_fract_y
_atom_site_fract_z
La1 0.0000 0.0000 0.0000
La2 0.5000 0.5000 0.0000
Ta1 0.0000 0.5000 0.5000
Os1 0.5000 0.0000 0.5000
# Crystal system: orthorhombic
# Distance to the lowest polymorph of the same formula, meV/atom: 503

***

# La2TaOs, optimized geometry, DFT PBE
data_La2TaOs
_chemical_formula_sum 'La8 Ta4 Os4'
_symmetry_space_group_name_H-M 'F -4 3 m'
_symmetry_Int_Tables_number 216
_symmetry_space_group_name_Hall 'F -4 2 3'
_cell_length_a 7.0755
_cell_length_b 7.0755
_cell_length_c 7.0755
_cell_angle_alpha 90.00
_cell_angle_beta 90.00
_cell_angle_gamma 90.00
loop_
_atom_site_label
_atom_site_fract_x
_atom_site_fract_y
_atom_site_fract_z
La1 0.0000 0.0000 0.0000
La2 0.2500 0.2500 0.2500
Ta1 0.0000 0.0000 0.5000
Os1 0.2500 0.2500 0.7500
# Crystal system: cubic
# Distance to the lowest polymorph of the same formula, meV/atom: 427

***

# La2TaOs, optimized geometry, DFT PBE
data_La2TaOs
_chemical_formula_sum 'La4 Ta2 Os2'
_symmetry_space_group_name_H-M 'I 4/m m m'
_symmetry_Int_Tables_number 139
_symmetry_space_group_name_Hall '-I 4 2'
_cell_length_a 4.0947
_cell_length_b 4.0947
_cell_length_c 10.6475
_cell_angle_alpha 90.00
_cell_angle_beta 90.00
_cell_angle_gamma 90.00
loop_
_atom_site_label
_atom_site_fract_x
_atom_site_fract_y
_atom_site_fract_z
La1 0.0000 0.5000 0.2500
Ta1 0.0000 0.0000 0.0000
Os1 0.0000 0.0000 0.5000
# Crystal system: tetragonal
# Distance to the lowest polymorph of the same formula, meV/atom: 533

***

# LaTaOs, optimized geometry, DFT PBE
data_LaTaOs
_chemical_formula_sum 'La4 Ta4 Os4'
_symmetry_space_group_name_H-M 'C 1 m 1'
_symmetry_Int_Tables_number 8
_cell_length_a 11.4778
_cell_length_b 4.5357
_cell_length_c 5.3385
_cell_angle_alpha 90.00
_cell_angle_beta 93.26
_cell_angle_gamma 90.00
loop_
_symmetry_equiv_pos_as_xyz
'x,y,z'
'x,-y,z'
'x+1/2,y+1/2,z'
'x+1/2,-y+1/2,z'
loop_
_atom_site_label
_atom_site_fract_x
_atom_site_fract_y
_atom_site_fract_z
La1 0.0000 0.0000 0.0000
La2 0.0587 0.5000 0.4874
Ta1 0.2257 0.5000 0.0139
Ta2 0.2820 0.0000 0.7330
Os1 0.2837 0.0000 0.2331
Os2 0.3316 0.5000 0.5181
# Crystal system: monoclinic
# Distance to the lowest polymorph of the same formula, meV/atom: 208

***

# LaTaOs, optimized geometry, DFT PBE
data_LaTaOs
_chemical_formula_sum 'La2 Ta2 Os2'
_symmetry_space_group_name_H-M 'P 4/n m m'
_symmetry_Int_Tables_number 129
_cell_length_a 4.5130
_cell_length_b 4.5130
_cell_length_c 6.9914
_cell_angle_alpha 90.00
_cell_angle_beta 90.00
_cell_angle_gamma 90.00
loop_
_symmetry_equiv_pos_as_xyz
'x,y,z'
'-x,-y,-z'
'-y+1/2,x,z'
'y+1/2,-x,-z'
'-x+1/2,-y+1/2,z'
'x+1/2,y+1/2,-z'
'y,-x+1/2,z'
'-y,x+1/2,-z'
'x+1/2,-y,-z'
'-x+1/2,y,z'
'-y,-x,-z'
'y,x,z'
'-x,y+1/2,-z'
'x,-y+1/2,z'
'y+1/2,x+1/2,-z'
'-y+1/2,-x+1/2,z'
loop_
_atom_site_label
_atom_site_fract_x
_atom_site_fract_y
_atom_site_fract_z
La1 0.2500 0.2500 0.1411
Ta1 0.2500 0.7500 0.5000
Os1 0.2500 0.2500 0.6887
# Crystal system: tetragonal
# Distance to the lowest polymorph of the same formula, meV/atom: 0

***

# La3TaOs, optimized geometry, DFT PBE
data_La3TaOs
_chemical_formula_sum 'La3 Ta1 Os1'
_symmetry_space_group_name_H-M 'P m -3 m'
_symmetry_Int_Tables_number 221
_symmetry_space_group_name_Hall '-P 4 2 3'
_cell_length_a 5.4866
_cell_length_b 5.4866
_cell_length_c 5.4866
_cell_angle_alpha 90.00
_cell_angle_beta 90.00
_cell_angle_gamma 90.00
loop_
_atom_site_label
_atom_site_fract_x
_atom_site_fract_y
_atom_site_fract_z
La1 0.0000 0.0000 0.5000
Ta1 0.5000 0.5000 0.5000
Os1 0.0000 0.0000 0.0000
# Crystal system: cubic
# Distance to the lowest polymorph of the same formula, meV/atom: 0

***

# La2TaOs, optimized geometry, DFT PBE
data_La2TaOs
_chemical_formula_sum 'La2 Ta1 Os1'
_symmetry_space_group_name_H-M 'P 4 m m'
_symmetry_Int_Tables_number 99
_cell_length_a 3.2891
_cell_length_b 3.2891
_cell_length_c 9.3095
_cell_angle_alpha 90.00
_cell_angle_beta 90.00
_cell_angle_gamma 90.00
loop_
_symmetry_equiv_pos_as_xyz
'x,y,z'
'-y,x,z'
'-x,-y,z'
'y,-x,z'
'-x,y,z'
'y,x,z'
'x,-y,z'
'-y,-x,z'
loop_
_atom_site_label
_atom_site_fract_x
_atom_site_fract_y
_atom_site_fract_z
La1 0.0000 0.0000 0.0000
La2 0.5000 0.5000 0.3729
Ta1 0.5000 0.5000 0.7457
Os1 0.0000 0.0000 0.6023
# Crystal system: tetragonal
# Distance to the lowest polymorph of the same formula, meV/atom: 0

***

# La2TaOs, optimized geometry, DFT PBE
data_La2TaOs
_chemical_formula_sum 'La4 Ta2 Os2'
_symmetry_space_group_name_H-M 'I m m 2'
_symmetry_Int_Tables_number 44
_cell_length_a 3.5410
_cell_length_b 5.2833
_cell_length_c 10.9871
_cell_angle_alpha 90.00
_cell_angle_beta 90.00
_cell_angle_gamma 90.00
loop_
_symmetry_equiv_pos_as_xyz
'x,y,z'
'-x,-y,z'
'-x,y,z'
'x,-y,z'
'x+1/2,y+1/2,z+1/2'
'-x+1/2,-y+1/2,z+1/2'
'-x+1/2,y+1/2,z+1/2'
'x+1/2,-y+1/2,z+1/2'
loop_
_atom_site_label
_atom_site_fract_x
_atom_site_fract_y
_atom_site_fract_z
La1 0.0000 0.0000 0.0000
La2 0.0000 0.5000 0.2108
Ta1 0.0000 0.0000 0.4112
Os1 0.0000 0.5000 0.7502
# Crystal system: orthorhombic
# Distance to the lowest polymorph of the same formula, meV/atom: 111

***

Number 1: density of states at the Fermi level 15.6 states/eV/cell, calculated formation energy 1.555 eV/atom. Number 2: density of states at the Fermi level 4.2 states/eV/cell, calculated formation energy 0.582 eV/atom. Number 3: density of states at the Fermi level 10.3 states/eV/cell, calculated formation energy 0.046 eV/atom. Number 4: density of states at the Fermi level 20.1 states/eV/cell, calculated formation energy 0.637 eV/atom. Number 5: density of states at the Fermi level 4.2 states/eV/cell, calculated formation energy 0.510 eV/atom. Number 6: density of states at the Fermi level 28.2 states/eV/cell, calculated formation energy 0.434 eV/atom. Number 7: density of states at the Fermi level 10.0 states/eV/cell, calculated formation energy 0.540 eV/atom. Number 8: density of states at the Fermi level 10.8 states/eV/cell, calculated formation energy 0.021 eV/atom. Number 9: density of states at the Fermi level 7.3 states/eV/cell, calculated formation energy -0.187 eV/atom. Number 10: density of states at the Fermi level 17.3 states/eV/cell, calculated formation energy 0.751 eV/atom. Number 11: density of states at the Fermi level 5.0 states/eV/cell, calculated formation energy 0.007 eV/atom. Number 12: density of states at the Fermi level 8.5 states/eV/cell, calculated formation energy 0.118 eV/atom.